Entry 1:
DFT (PBE) results for an optimized crystal structure of KLiMn2.

abc: 4.0503 4.0503 22.6124
angles: 90.00 90.00 90.00
Atoms (fractional coordinates):
K  0.0000  0.0000  0.0000
K  0.0000  0.5000  0.2500
K  0.5000  0.0000  0.7500
K  0.5000  0.5000  0.5000
Li  0.0000  0.0000  0.5000
Li  0.0000  0.5000  0.7500
Li  0.5000  0.0000  0.2500
Li  0.5000  0.5000  0.0000
Mn  0.2321  0.2500  0.6250
Mn  0.2500  0.7321  0.8750
Mn  0.2500  0.7679  0.3750
Mn  0.2679  0.2500  0.1250
Mn  0.7321  0.7500  0.1250
Mn  0.7500  0.2321  0.3750
Mn  0.7500  0.2679  0.8750
Mn  0.7679  0.7500  0.6250

Summary:
Calculated formation energy in meV/atom: 1027
Raw total energy in eV per atom: -4.310
Volume in A^3/atom: 23.2
SG: I-42d, No. 122

---

Entry 2:
DFT (PBE) results for an optimized crystal structure of Re3Os2.

abc: 7.0310 5.2970 8.1246
angles: 58.76 40.10 81.13
Atoms (fractional coordinates):
Re  0.0000  0.0000  0.0000
Re  0.2500  0.2500  0.2500
Re  0.4230  0.5244  0.3757
Re  0.5244  0.4230  0.6770
Re  0.5730  0.8743  0.7256
Re  0.8743  0.5730  0.8270
Os  0.1247  0.7811  0.2852
Os  0.4411  0.9648  0.4689
Os  0.7811  0.1247  0.8089
Os  0.9648  0.4411  0.1253

Summary:
Calculated formation energy in meV/atom: 136
Raw total energy in eV per atom: -11.825
Volume in A^3/atom: 15.0
SG: Fdd2, No. 43

---

Entry 3:
DFT (PBE) results for an optimized crystal structure of ThSi2Pt4.

abc: 17.3445 4.2347 6.7492
angles: 90.00 90.00 90.00
Atoms (fractional coordinates):
Th  0.1413  0.2500  0.0078
Th  0.3587  0.7500  0.5078
Th  0.6413  0.2500  0.4922
Th  0.8587  0.7500  0.9922
Si  0.0336  0.7500  0.2596
Si  0.2034  0.2500  0.5583
Si  0.2966  0.7500  0.0583
Si  0.4664  0.2500  0.7596
Si  0.5336  0.7500  0.2404
Si  0.7034  0.2500  0.9417
Si  0.7966  0.7500  0.4417
Si  0.9664  0.2500  0.7404
Pt  0.0246  0.7500  0.8748
Pt  0.0633  0.2500  0.4827
Pt  0.1685  0.7500  0.3482
Pt  0.2194  0.7500  0.7567
Pt  0.2806  0.2500  0.2567
Pt  0.3315  0.2500  0.8482
Pt  0.4367  0.7500  0.9827
Pt  0.4754  0.2500  0.3748
Pt  0.5246  0.7500  0.6252
Pt  0.5633  0.2500  0.0173
Pt  0.6685  0.7500  0.1518
Pt  0.7194  0.7500  0.7433
Pt  0.7806  0.2500  0.2433
Pt  0.8315  0.2500  0.6518
Pt  0.9367  0.7500  0.5173
Pt  0.9754  0.2500  0.1252

Summary:
Raw total energy in eV per atom: -6.950
ΔE_f (raw) in eV/atom: -0.889
Volume in A^3/atom: 17.7
SG: Pnma, No. 62

---

- Which value of raw total energy does entry 3 give?
  -6.950 eV per atom

---

- The highest raw total energy belongs to which entry?
  KLiMn2